Ce2MgRh2 | Alexandria | PBE | relaxed; formation enthalpy at 0 K = -575.1 meV/atom; energy = -6.208 eV per atom; space group = C2/m; spin magnetization = 0.16 μB per atom
1.0
4.6352 -0.0003 0.0002
2.3182 8.0655 0.1073
2.3176 0.0937 6.3426
Rh Ce Mg
4 4 2
Direct
0.8474 0.2814 0.5239
0.3475 0.7814 0.0241
0.1526 0.7186 0.4761
0.6525 0.2186 0.9759
0.0964 0.0744 0.2325
0.4036 0.4256 0.2674
0.5964 0.5744 0.7326
0.9036 0.9256 0.7675
0.2501 0.2499 0.7498
0.7499 0.7501 0.2502

La12Y7Tm | Alexandria | PBE | relaxed; formation enthalpy at 0 K = 196.8 meV/atom; energy = -5.246 eV per atom; distance to the lowest polymorph of the same formula = 0.0140 eV per atom; space group = R-3m; spin magnetization = 0.00 μB per atom
1.0
6.2433 0.0000 -1.2849
-3.2275 9.8498 -5.1417
0.2116 0.0000 11.5684
Y La Tm
7 12 1
Direct
0.1164 0.7534 0.0001
0.8837 0.0001 0.2468
0.8836 0.2466 0.9999
0.5000 0.0000 0.0000
0.6369 0.7532 0.7534
0.1163 0.9999 0.7532
0.3631 0.2468 0.2466
0.5003 0.5919 0.4081
0.4256 0.3558 0.9998
0.4259 0.0002 0.3561
0.9302 0.3561 0.3558
0.9077 0.4081 0.8161
0.0923 0.5919 0.1839
0.9084 0.8161 0.4081
0.0698 0.6439 0.6442
0.4997 0.4081 0.5919
0.5741 0.9998 0.6439
0.0916 0.1839 0.5919
0.5744 0.6442 0.0002
0.0000 0.0000 0.0000

Th2Ga2CuRh5 | Alexandria | PBE | relaxed; formation enthalpy at 0 K = -627.6 meV/atom; energy = -6.802 eV per atom; space group = P4/mbm; spin magnetization = 0.00 μB per atom
1.0
-1.7820 -2.7801 -1.6139
5.5570 1.0871 -8.0082
6.5346 -6.3228 3.6761
Rh Th Ga Cu
10 4 4 2
Direct
0.5000 0.7957 0.9295
0.5000 0.5705 0.7043
0.5000 0.4295 0.2957
0.5000 0.5000 0.0000
0.5000 0.2043 0.0705
0.5000 0.0000 0.5000
0.5000 0.7043 0.4295
0.5000 0.2957 0.5705
0.5000 0.0705 0.7957
0.5000 0.9295 0.2043
0.0000 0.1786 0.3214
0.0000 0.3214 0.8214
0.0000 0.8214 0.6786
0.0000 0.6786 0.1786
0.0000 0.3798 0.1202
0.0000 0.6202 0.8798
0.0000 0.8798 0.3798
0.0000 0.1202 0.6202
0.0000 0.5000 0.5000
0.0000 0.0000 0.0000

CaIr2Cl | Alexandria | PBE | relaxed; energy = -5.540 eV per atom; distance to the lowest polymorph of the same formula = 0.2358 eV per atom; space group = P2/m; uncorrected formation energy = -0.15 eV per atom; spin magnetization = 0.00 μB per atom
1.0
-4.3537 -2.3875 3.4471
-0.4894 -2.1089 -2.0788
2.8989 -2.5621 1.8868
Cl Ir Ca
1 2 1
Direct
0.5000 0.7500 0.7500
0.0000 0.0140 0.0015
0.0000 0.4860 0.4985
0.5000 0.2500 0.2500

Li4Ac3Cd2 | Alexandria | PBE | relaxed; formation enthalpy at 0 K = -92.1 meV/atom; energy = -2.515 eV per atom; space group = C2/m; spin magnetization = 0.00 μB per atom
1.0
5.0311 0.0000 1.3421
2.2300 5.7265 1.7415
0.2612 -0.4883 9.1221
Cd Ac Li
2 3 4
Direct
0.4125 0.9137 0.2614
0.5875 0.0863 0.7386
0.0000 0.0000 0.0000
0.6757 0.3008 0.3479
0.3243 0.6992 0.6521
0.9673 0.6981 0.3673
0.0327 0.3019 0.6327
0.7159 0.6200 0.9481
0.2841 0.3800 0.0519

Nd2ErAg | Alexandria | PBE | relaxed; formation enthalpy at 0 K = -93.9 meV/atom; energy = -4.331 eV per atom; distance to the lowest polymorph of the same formula = 0.0177 eV per atom; space group = P4/mmm; spin magnetization = 0.00 μB per atom
1.0
3.6948 0.0000 0.0000
0.0000 3.6948 0.0000
0.0000 0.0000 8.7904
Nd Er Ag
2 1 1
Direct
0.0000 0.0000 0.7795
0.0000 0.0000 0.2205
0.5000 0.5000 0.5000
0.5000 0.5000 0.0000

CaLa3Ru | Alexandria | PBE | relaxed; formation enthalpy at 0 K = -124.0 meV/atom; energy = -5.336 eV per atom; distance to the lowest polymorph of the same formula = 0.0473 eV per atom; space group = P2_1/c; spin magnetization = 0.00 μB per atom
1.0
24.0599 0.0000 -1.4267
0.0000 7.0772 0.0000
-8.4379 0.0000 4.6035
La Ca Ru
12 4 4
Direct
0.8228 0.5892 0.4010
0.5631 0.7452 0.1391
0.7986 0.3387 0.7101
0.4369 0.2548 0.8609
0.9369 0.2452 0.3609
0.2986 0.1613 0.2101
0.2014 0.6613 0.2899
0.7014 0.8387 0.7899
0.6772 0.0892 0.0990
0.0631 0.7548 0.6391
0.3228 0.9108 0.9010
0.1772 0.4108 0.5990
0.4393 0.6514 0.4989
0.0607 0.1514 0.0011
0.5607 0.3486 0.5011
0.9393 0.8486 0.9989
0.3800 0.5701 0.9030
0.6200 0.4299 0.0970
0.8800 0.9299 0.4030
0.1200 0.0701 0.5970

Cd3SiRh | Alexandria | PBE | relaxed; energy = -2.267 eV per atom; distance to the lowest polymorph of the same formula = 0.1810 eV per atom; space group = Pm-3m; uncorrected formation energy = 0.84 eV per atom; spin magnetization = 0.00 μB per atom
1.0
-4.3163 2.3309 -0.1767
-1.8857 -3.6911 -2.6296
-1.3816 -2.2444 4.1411
Rh Cd Si
1 3 1
Direct
0.5000 0.5000 0.5000
0.5000 0.0000 0.0000
0.0000 0.0000 0.5000
0.0000 0.5000 0.0000
0.0000 0.0000 0.0000

Pm5Sm2Ga4 | Alexandria | PBE | relaxed; formation enthalpy at 0 K = -351.8 meV/atom; energy = -4.470 eV per atom; space group = C2/m; spin magnetization = 0.00 μB per atom
1.0
-4.0659 0.2226 -3.0015
4.0396 -1.0240 -5.5481
-4.8504 -7.2614 10.2948
Sm Ga Pm
2 4 5
Direct
0.5954 0.7637 0.1907
0.4046 0.2363 0.8093
0.0065 0.3227 0.0130
0.9935 0.6773 0.9870
0.3258 0.4850 0.6516
0.6742 0.5150 0.3484
0.5000 0.0000 0.0000
0.8150 0.2320 0.6300
0.8304 0.7439 0.6609
0.1850 0.7680 0.3700
0.1696 0.2561 0.3391

CsKCd4 | Alexandria | PBE | relaxed; formation enthalpy at 0 K = -56.7 meV/atom; energy = -0.992 eV per atom; distance to the lowest polymorph of the same formula = 0.0040 eV per atom; space group = F-43m; spin magnetization = 0.00 μB per atom
1.0
-6.5051 -0.6967 0.8104
-3.0233 -5.4524 -2.1423
-2.3308 -4.3932 4.3274
Cd K Cs
4 1 1
Direct
0.6272 0.6272 0.1185
0.1185 0.6272 0.6272
0.6272 0.6272 0.6272
0.6272 0.1185 0.6272
0.0000 0.0000 0.0000
0.2500 0.2500 0.2500

TaTlNi2 | Alexandria | PBE | relaxed; formation enthalpy at 0 K = 240.1 meV/atom; energy = -6.205 eV per atom; distance to the lowest polymorph of the same formula = 0.2253 eV per atom; space group = R-3m; spin magnetization = 0.00 μB per atom
1.0
7.9689 -0.0469 -0.0278
7.3463 3.0882 -0.0278
7.3463 1.4588 2.7221
Ni Tl Ta
2 1 1
Direct
0.5095 0.5095 0.5095
0.9905 0.9905 0.9905
0.7500 0.7500 0.7500
0.2500 0.2500 0.2500

PmErMgZn | Alexandria | PBE | relaxed; formation enthalpy at 0 K = -206.9 meV/atom; energy = -3.252 eV per atom; distance to the lowest polymorph of the same formula = 0.0000 eV per atom; space group = P4mm; spin magnetization = 0.00 μB per atom
1.0
3.6112 0.0000 0.0000
0.0000 3.6112 0.0000
0.0000 0.0000 7.8454
Er Zn Mg Pm
1 1 1 1
Direct
0.0000 0.0000 0.3286
0.5000 0.5000 0.1232
0.5000 0.5000 0.5946
0.0000 0.0000 0.8816